Entry from Alexandria: a PBEsol-optimized structure of Bi4PbS7 (meta-GGA SCAN).

a b c (Å): 6.9158 6.9158 11.9823
angles (deg): 104.57 104.57 33.38
Last column: nearest neighbours and their distance in Å.
Fractional positions:
Bi 0.0000 0.0000 0.0000  5 S 2.70-2.89
Bi 0.5859 0.5859 0.4038  6 S 2.73-2.87
Bi 0.6935 0.6935 0.8435  6 S 2.73-2.88
Bi 0.8255 0.8255 0.2634  6 S 2.72-2.91
Pb 0.3628 0.3628 0.6280  3 S 2.78-2.98
S 0.0431 0.0431 0.7921  3 Bi 2.70-2.77
S 0.2306 0.2306 0.3693  4 Bi 2.82-2.87, 1 Pb 3.13
S 0.3555 0.3555 0.8746  4 Bi 2.88-2.89, 1 Pb 2.98
S 0.4374 0.4374 0.1854  3 Bi 2.78-2.83
S 0.6489 0.6489 0.0592  4 Bi 2.76-2.91
S 0.7151 0.7151 0.6231  2 Bi 2.73, 2 Pb 2.78
S 0.9714 0.9714 0.4715  3 Bi 2.72-2.75

## Properties
- raw total energy (eV/atom) = -38.46
- energy relative to the elements, uncorrected (eV per atom) = -0.34
- total magnetization (μB per atom) = 0.00